# Y6TlCd (PBE-GGA, relaxed)
# uncorrected energy	-5.435	eV per atom
# formation energy from the elements	-0.18	eV/atom
data_Y6TlCd
_chemical_formula_sum 'Y12 Tl2 Cd2'
_cell_length_a 5.1108
_cell_length_b 5.1108
_cell_length_c 18.3680
_cell_angle_alpha 90.00
_cell_angle_beta 90.00
_cell_angle_gamma 90.00
_symmetry_space_group_name_H-M 'I 4/m m m'
_symmetry_Int_Tables_number 139
_symmetry_space_group_name_Hall '-I 4 2'
loop_
_atom_site_label
_atom_site_fract_x
_atom_site_fract_y
_atom_site_fract_z
Y1 0.0000 0.0000 0.2490
Y2 0.0000 0.5000 0.1132
Tl1 0.0000 0.0000 0.5000
Cd1 0.0000 0.0000 0.0000